VASP calculation (GGA-PBE) on a relaxed structure of Ce4CBr2N.

The space group is P2/m (No. 10) and the conventional cell measures 6.346, 3.671 and 7.762 Å, with angles of 90.00, 105.86 and 90.00 degrees. The inequivalent atoms are Ce at (0.224, 0.000, 0.182), Ce at (0.268, 0.500, 0.817), C at (0.500, 0.000, 0.000), Br at (0.000, 0.000, 0.500), Br at (0.500, 0.500, 0.500) and N at (0.000, 0.500, 0.000).

The value obtained for the uncorrected formation energy is -8.93 eV/f.u.